{"formula": "Ba2NaPr", "functional": "GGA-PBE", "state": "relaxed", "formation_enthalpy_0k_ev_per_atom": 0.294, "crystal_system": "trigonal", "relative_energy_ev_per_fu": 0.674, "lattice_angstrom": [[-0.102, -0.676, -3.858], [-3.225, -1.502, -1.641], [-6.139, 12.458, -4.011]], "species": ["Pr", "Na", "Ba", "Ba"], "frac_coords": [[0.000, 0.000, 0.000], [0.500, 0.500, 0.500], [0.087, 0.087, 0.740], [0.913, 0.913, 0.260]]}

***

{"formula": "YCuNiAg", "functional": "GGA-PBE", "state": "relaxed", "formation_enthalpy_0k_ev_per_atom": -0.139, "crystal_system": "cubic", "lattice_angstrom": [[-2.710, 3.721, 0.083], [-4.269, -0.223, -1.708], [-3.624, 0.145, 2.835]], "species": ["Y", "Ni", "Cu", "Ag"], "frac_coords": [[0.750, 0.750, 0.750], [0.500, 0.500, 0.500], [0.000, 0.000, 0.000], [0.250, 0.250, 0.250]]}

***

{"formula": "MgAgSe2", "functional": "GGA-PBE", "state": "relaxed", "crystal_system": "tetragonal", "formation_energy_uncorrected_mev_per_atom": -485, "lattice_angstrom": [[6.043, 0.000, 0.000], [0.000, 6.043, 0.000], [3.021, 3.021, 5.964]], "species": ["Mg", "Mg", "Se", "Se", "Se", "Se", "Ag", "Ag"], "frac_coords": [[0.500, 0.500, 0.000], [0.250, 0.750, 0.500], [0.622, 0.125, 0.250], [0.128, 0.625, 0.250], [0.375, 0.378, 0.750], [0.875, 0.872, 0.750], [0.000, 0.000, 0.000], [0.750, 0.250, 0.500]]}